1.
A relaxed ZnTe2PtC crystal, computed with GGA-PBEsol.

Computed properties:
* magnetization: 0.00 Bohr magnetons per cell
* symmetry: P4/mmm, No. 123
* V: 19.58 A^3/atom
* formation energy from raw total energies: 0.8336 eV per atom
* total energy: -4.2147 eV per atom

abc: 5.0172 5.0172 3.8897
angles: 90.00 90.00 90.00
Positions (direct):
Zn 0.0000 0.0000 0.0000
Te 0.0000 0.5000 0.5000
Te 0.5000 0.0000 0.5000
Pt 0.5000 0.5000 0.0000
C 0.5000 0.5000 0.5000

---

2.
A relaxed V3PtC crystal, computed with GGA-PBEsol.

Computed properties:
* magnetization: 0.00 Bohr magnetons per cell
* symmetry: Pm-3m, No. 221
* V: 12.05 A^3/atom
* total energy: -9.6016 eV per atom

abc: 3.9203 3.9203 3.9203
angles: 90.00 90.00 90.00
Positions (direct):
V 0.0000 0.0000 0.5000
V 0.0000 0.5000 0.0000
V 0.5000 0.0000 0.0000
Pt 0.5000 0.5000 0.5000
C 0.0000 0.0000 0.0000

---

3.
A relaxed YPtC3 crystal, computed with GGA-PBEsol.

Computed properties:
* magnetization: 0.00 Bohr magnetons per cell
* symmetry: Pm-3m, No. 221
* V: 12.89 A^3/atom
* total energy: -7.0362 eV per atom

abc: 4.0098 4.0098 4.0098
angles: 90.00 90.00 90.00
Positions (direct):
Y 0.0000 0.0000 0.0000
Pt 0.5000 0.5000 0.5000
C 0.0000 0.5000 0.5000
C 0.5000 0.0000 0.5000
C 0.5000 0.5000 0.0000

---

4.
A relaxed YZnPtC2 crystal, computed with GGA-PBEsol.

Computed properties:
* magnetization: 0.00 Bohr magnetons per cell
* symmetry: P4/mmm, No. 123
* V: 19.68 A^3/atom
* total energy: -4.7133 eV per atom

abc: 4.3421 4.3421 5.2183
angles: 90.00 90.00 90.00
Positions (direct):
Y 0.0000 0.0000 0.0000
Zn 0.5000 0.5000 0.5000
Pt 0.0000 0.0000 0.5000
C 0.0000 0.5000 0.0000
C 0.5000 0.0000 0.0000

---

5.
A relaxed Zn3PtC crystal, computed with GGA-PBEsol.

Computed properties:
* magnetization: 1.81 Bohr magnetons per cell
* symmetry: Pm-3m, No. 221
* energy relative to the lowest polymorph listed for this composition: 1067 meV per atom
* V: 21.29 A^3/atom
* total energy: -2.8281 eV per atom

abc: 4.7393 4.7393 4.7393
angles: 90.00 90.00 90.00
Positions (direct):
Zn 0.0000 0.0000 0.5000
Zn 0.0000 0.5000 0.0000
Zn 0.5000 0.0000 0.0000
Pt 0.0000 0.0000 0.0000
C 0.5000 0.5000 0.5000

---

6.
A relaxed Zn3PtC crystal, computed with GGA-PBEsol.

Computed properties:
* magnetization: 0.00 Bohr magnetons per cell
* symmetry: Pm-3m, No. 221
* energy relative to the lowest polymorph listed for this composition: 0 meV per atom
* V: 13.08 A^3/atom
* total energy: -3.8947 eV per atom

abc: 4.0294 4.0294 4.0294
angles: 90.00 90.00 90.00
Positions (direct):
Zn 0.0000 0.0000 0.5000
Zn 0.0000 0.5000 0.0000
Zn 0.5000 0.0000 0.0000
Pt 0.5000 0.5000 0.5000
C 0.0000 0.0000 0.0000

---

7.
A relaxed PuC2 crystal, computed with GGA-PBEsol.

Computed properties:
* magnetization: 4.34 Bohr magnetons per cell
* symmetry: I4/mmm, No. 139
* V: 12.55 A^3/atom
* total energy: -11.3140 eV per atom

abc: 3.9081 3.9081 3.9081
angles: 126.08 126.08 79.76
Positions (direct):
Pu 0.0000 0.0000 0.0000
C 0.3884 0.3884 0.0000
C 0.6116 0.6116 0.0000

---

8.
A relaxed Pu2C3 crystal, computed with GGA-PBEsol.

Computed properties:
* magnetization: 33.10 Bohr magnetons per cell
* symmetry: I-43d, No. 220
* V: 12.59 A^3/atom
* total energy: -11.7621 eV per atom

abc: 6.8897 6.8897 6.8897
angles: 109.47 109.47 109.47
Positions (direct):
Pu 0.0000 0.4035 0.5000
Pu 0.0000 0.9035 0.5000
Pu 0.0965 0.0965 0.0965
Pu 0.4035 0.5000 0.0000
Pu 0.5000 0.0000 0.4035
Pu 0.5000 0.0000 0.9035
Pu 0.5965 0.5965 0.5965
Pu 0.9035 0.5000 0.0000
C 0.0365 0.7500 0.7865
C 0.2135 0.7500 0.9635
C 0.2500 0.5365 0.2865
C 0.2500 0.7135 0.4635
C 0.2865 0.2500 0.5365
C 0.4635 0.2500 0.7135
C 0.5365 0.2865 0.2500
C 0.7135 0.4635 0.2500
C 0.7500 0.7865 0.0365
C 0.7500 0.9635 0.2135
C 0.7865 0.0365 0.7500
C 0.9635 0.2135 0.7500

---

9.
A relaxed PuUC3 crystal, computed with GGA-PBEsol.

Computed properties:
* magnetization: 19.62 Bohr magnetons per cell
* symmetry: I2_13, No. 199
* V: 12.61 A^3/atom
* total energy: -11.2742 eV per atom

abc: 6.8943 6.8943 6.8943
angles: 109.47 109.47 109.47
Positions (direct):
Pu 0.0000 0.9024 0.5000
Pu 0.5000 0.0000 0.9024
Pu 0.5976 0.5976 0.5976
Pu 0.9024 0.5000 0.0000
U 0.0000 0.4036 0.5000
U 0.0964 0.0964 0.0964
U 0.4036 0.5000 0.0000
U 0.5000 0.0000 0.4036
C 0.0372 0.7500 0.7872
C 0.2162 0.7500 0.9662
C 0.2500 0.5338 0.2838
C 0.2500 0.7128 0.4628
C 0.2838 0.2500 0.5338
C 0.4628 0.2500 0.7128
C 0.5338 0.2838 0.2500
C 0.7128 0.4628 0.2500
C 0.7500 0.7872 0.0372
C 0.7500 0.9662 0.2162
C 0.7872 0.0372 0.7500
C 0.9662 0.2162 0.7500

---

10.
A relaxed Pu2W2C3 crystal, computed with GGA-PBEsol.

Computed properties:
* magnetization: 8.96 Bohr magnetons per cell
* symmetry: C2/m, No. 12
* V: 13.99 A^3/atom
* total energy: -12.4516 eV per atom

abc: 6.1416 6.1416 5.5953
angles: 112.17 112.17 30.27
Positions (direct):
Pu 0.1050 0.1050 0.3073
Pu 0.8950 0.8950 0.6927
W 0.3450 0.3450 0.1703
W 0.6550 0.6550 0.8297
C 0.2491 0.2491 0.7504
C 0.5000 0.5000 0.5000
C 0.7509 0.7509 0.2496

---

11.
A relaxed RbC5 crystal, computed with GGA-PBEsol.

Computed properties:
* magnetization: 1.00 Bohr magnetons per cell
* symmetry: F-43m, No. 216
* V: 13.76 A^3/atom
* total energy: -5.0683 eV per atom

abc: 4.8876 4.8876 4.8876
angles: 60.00 60.00 60.00
Positions (direct):
Rb 0.0000 0.0000 0.0000
C 0.2500 0.2500 0.2500
C 0.2625 0.5792 0.5792
C 0.5792 0.2625 0.5792
C 0.5792 0.5792 0.2625
C 0.5792 0.5792 0.5792

---

12.
A relaxed RbC3 crystal, computed with GGA-PBEsol.

Computed properties:
* magnetization: 0.00 Bohr magnetons per cell
* symmetry: P-6m2, No. 187
* V: 13.98 A^3/atom
* total energy: -5.3536 eV per atom

abc: 3.2700 3.2700 6.0366
angles: 90.00 90.00 120.00
Positions (direct):
Rb 0.0000 0.0000 0.0000
C 0.0000 0.0000 0.5000
C 0.6667 0.3333 0.3869
C 0.6667 0.3333 0.6131

---

13.
A relaxed Rb2C3 crystal, computed with GGA-PBEsol.

Computed properties:
* magnetization: 0.00 Bohr magnetons per cell
* symmetry: R-3m, No. 166
* V: 13.94 A^3/atom
* total energy: -4.3524 eV per atom

abc: 10.1772 10.1772 10.1772
angles: 15.98 15.98 15.98
Positions (direct):
Rb 0.0902 0.0902 0.0902
Rb 0.9098 0.9098 0.9098
C 0.3333 0.3333 0.3333
C 0.5000 0.5000 0.5000
C 0.6667 0.6667 0.6667

---

14.
A relaxed RbC8 crystal, computed with GGA-PBEsol.

Computed properties:
* magnetization: 0.00 Bohr magnetons per cell
* symmetry: Fddd, No. 70
* V: 13.17 A^3/atom
* total energy: -8.7468 eV per atom

abc: 11.9215 11.3936 4.9615
angles: 83.75 71.81 24.44
Positions (direct):
Rb 0.1250 0.1250 0.1250
Rb 0.8750 0.8750 0.8750
C 0.0836 0.4165 0.8331
C 0.0846 0.4176 0.3320
C 0.1668 0.8331 0.4165
C 0.1669 0.8332 0.9164
C 0.3320 0.6657 0.0846
C 0.3343 0.6680 0.5824
C 0.4165 0.0836 0.1668
C 0.4176 0.0846 0.6657
C 0.5824 0.9154 0.3343
C 0.5835 0.9164 0.8332
C 0.6657 0.3320 0.4176
C 0.6680 0.3343 0.9154
C 0.8331 0.1668 0.0836
C 0.8332 0.1669 0.5835
C 0.9154 0.5824 0.6680
C 0.9164 0.5835 0.1669

---

15.
A relaxed Rb4C crystal, computed with GGA-PBEsol.

Computed properties:
* magnetization: 1.66 Bohr magnetons per cell
* symmetry: Im-3m, No. 229
* V: 49.66 A^3/atom
* total energy: -1.7328 eV per atom

abc: 6.8581 6.8581 6.8581
angles: 109.47 109.47 109.47
Positions (direct):
Rb 0.0000 0.0000 0.5000
Rb 0.0000 0.5000 0.0000
Rb 0.5000 0.0000 0.0000
Rb 0.5000 0.5000 0.5000
C 0.0000 0.0000 0.0000

---

16.
A relaxed Rb2C crystal, computed with GGA-PBEsol.

Computed properties:
* magnetization: 2.13 Bohr magnetons per cell
* symmetry: P4/mmm, No. 123
* energy relative to the lowest polymorph listed for this composition: 0 meV per atom
* V: 41.25 A^3/atom
* total energy: -2.3612 eV per atom

abc: 4.5102 4.5102 6.0843
angles: 90.00 90.00 90.00
Positions (direct):
Rb 0.0000 0.0000 0.0000
Rb 0.5000 0.5000 0.5000
C 0.0000 0.0000 0.5000

---

17.
A relaxed RbC crystal, computed with GGA-PBEsol.

Computed properties:
* magnetization: 9.03 Bohr magnetons per cell
* symmetry: Pm-3m, No. 221
* energy relative to the lowest polymorph listed for this composition: 1610 meV per atom
* V: 39.02 A^3/atom
* total energy: -2.5787 eV per atom

abc: 6.1633 6.1633 6.1633
angles: 90.00 90.00 90.00
Positions (direct):
Rb 0.0000 0.0000 0.5000
Rb 0.0000 0.5000 0.0000
Rb 0.5000 0.0000 0.0000
C 0.0000 0.5000 0.5000
C 0.5000 0.0000 0.5000
C 0.5000 0.5000 0.0000

---

18.
A relaxed Rb2C crystal, computed with GGA-PBEsol.

Computed properties:
* magnetization: 4.19 Bohr magnetons per cell
* symmetry: Cmmm, No. 65
* energy relative to the lowest polymorph listed for this composition: 115 meV per atom
* V: 36.70 A^3/atom
* total energy: -2.2462 eV per atom

abc: 8.3783 8.3783 4.3593
angles: 90.00 90.00 133.97
Positions (direct):
Rb 0.0000 0.0000 0.0000
Rb 0.2321 0.7679 0.5000
Rb 0.5000 0.5000 0.5000
Rb 0.7679 0.2321 0.5000
C 0.3623 0.6377 0.0000
C 0.6377 0.3623 0.0000

---

19.
A relaxed RbC crystal, computed with GGA-PBEsol.

Computed properties:
* magnetization: 2.97 Bohr magnetons per cell
* symmetry: Cm, No. 8
* energy relative to the lowest polymorph listed for this composition: 0 meV per atom
* V: 33.66 A^3/atom
* total energy: -4.1891 eV per atom

abc: 8.9467 8.9467 6.0547
angles: 109.42 109.42 26.32
Positions (direct):
Rb 0.0000 0.0000 0.0000
Rb 0.1096 0.1096 0.6246
Rb 0.8374 0.8374 0.3320
C 0.4612 0.4612 0.5690
C 0.4741 0.4741 0.3751
C 0.6575 0.6575 0.0549

---

20.
A relaxed RbC crystal, computed with GGA-PBEsol.

Computed properties:
* magnetization: 6.00 Bohr magnetons per cell
* symmetry: R-3m, No. 166
* energy relative to the lowest polymorph listed for this composition: 1478 meV per atom
* V: 73.61 A^3/atom
* total energy: -2.7107 eV per atom

abc: 13.5332 13.5332 13.5332
angles: 21.60 21.60 21.60
Positions (direct):
Rb 0.0849 0.0849 0.0849
Rb 0.9151 0.9151 0.9151
C 0.4182 0.4182 0.4182
C 0.5818 0.5818 0.5818

---

21.
A relaxed Rb3C4 crystal, computed with GGA-PBEsol.

Computed properties:
* magnetization: 5.95 Bohr magnetons per cell
* symmetry: P6/mmm, No. 191
* V: 29.20 A^3/atom
* total energy: -3.8350 eV per atom

abc: 7.7571 7.7571 3.9220
angles: 90.00 90.00 120.00
Positions (direct):
Rb 0.0000 0.5000 0.0000
Rb 0.5000 0.0000 0.0000
Rb 0.5000 0.5000 0.0000
C 0.0000 0.0000 0.3364
C 0.0000 0.0000 0.6636
C 0.3333 0.6667 0.5000
C 0.6667 0.3333 0.5000

---

22.
A relaxed RbReCSe2 crystal, computed with GGA-PBEsol.

Computed properties:
* magnetization: 2.45 Bohr magnetons per cell
* symmetry: P4/mmm, No. 123
* V: 30.94 A^3/atom
* formation energy from raw total energies: 1.5635 eV per atom
* total energy: -4.7768 eV per atom

abc: 4.6796 4.6796 7.0652
angles: 90.00 90.00 90.00
Positions (direct):
Rb 0.0000 0.0000 0.0000
Re 0.0000 0.0000 0.5000
C 0.5000 0.5000 0.0000
Se 0.0000 0.5000 0.5000
Se 0.5000 0.0000 0.5000

---

23.
A relaxed Rb2TaRhC crystal, computed with GGA-PBEsol.

Computed properties:
* magnetization: 0.28 Bohr magnetons per cell
* symmetry: P4/mmm, No. 123
* V: 27.38 A^3/atom
* total energy: -4.7621 eV per atom

abc: 5.8232 5.8232 4.0378
angles: 90.00 90.00 90.00
Positions (direct):
Rb 0.0000 0.5000 0.0000
Rb 0.5000 0.0000 0.0000
Ta 0.0000 0.0000 0.5000
Rh 0.5000 0.5000 0.5000
C 0.0000 0.0000 0.0000

---

24.
A relaxed Rb2SbCS crystal, computed with GGA-PBEsol.

Computed properties:
* magnetization: 0.62 Bohr magnetons per cell
* symmetry: P4/mmm, No. 123
* V: 37.01 A^3/atom
* formation energy from raw total energies: 0.6993 eV per atom
* total energy: -3.4279 eV per atom

abc: 6.7181 6.7181 4.0997
angles: 90.00 90.00 90.00
Positions (direct):
Rb 0.0000 0.5000 0.0000
Rb 0.5000 0.0000 0.0000
Sb 0.0000 0.0000 0.0000
C 0.0000 0.0000 0.5000
S 0.5000 0.5000 0.5000

---

25.
A relaxed RbSb2C crystal, computed with GGA-PBEsol.

Computed properties:
* magnetization: 0.00 Bohr magnetons per cell
* symmetry: I-42d, No. 122
* V: 26.90 A^3/atom
* formation energy from raw total energies: 0.6979 eV per atom
* total energy: -4.2481 eV per atom

abc: 6.5413 6.5413 6.5413
angles: 110.63 110.63 107.18
Positions (direct):
Rb 0.0000 0.0000 0.0000
Rb 0.7500 0.2500 0.5000
Sb 0.2537 0.1250 0.6287
Sb 0.3750 0.7463 0.8713
Sb 0.4963 0.6250 0.3713
Sb 0.8750 0.5037 0.1287
C 0.2500 0.7500 0.5000
C 0.5000 0.5000 0.0000

---

26.
A relaxed RbTaSbC2 crystal, computed with GGA-PBEsol.

Computed properties:
* magnetization: 0.23 Bohr magnetons per cell
* symmetry: P4/mmm, No. 123
* V: 19.85 A^3/atom
* formation energy from raw total energies: 3.7784 eV per atom
* total energy: -3.7058 eV per atom

abc: 4.3542 4.3542 5.2351
angles: 90.00 90.00 90.00
Positions (direct):
Rb 0.0000 0.0000 0.0000
Ta 0.0000 0.0000 0.5000
Sb 0.5000 0.5000 0.5000
C 0.0000 0.5000 0.0000
C 0.5000 0.0000 0.0000